No. 1
Here is crystalline HfV6Ge6 at its relaxed geometry from the Alexandria database. Energies are from PBE.

abc: 5.1741 5.1741 8.4418
angles: 90.00 90.00 120.00
With the nearest neighbours (Å) after each atom.
Positions (direct):
Hf 0.0000 0.0000 0.0000  8 Ge 2.86-2.99
V 0.0000 0.5000 0.7515  6 Ge 2.58-2.70, 4 V 2.59
V 0.5000 0.0000 0.7515  6 Ge 2.58-2.70, 4 V 2.59
V 0.5000 0.5000 0.7515  6 Ge 2.58-2.70, 4 V 2.59
V 0.5000 0.0000 0.2485  6 Ge 2.58-2.70, 4 V 2.59
V 0.0000 0.5000 0.2485  6 Ge 2.58-2.70, 4 V 2.59
V 0.5000 0.5000 0.2485  6 Ge 2.58-2.70, 4 V 2.59
Ge 0.0000 0.0000 0.6614  6 V 2.70, 1 Ge 2.73, 1 Hf 2.86
Ge 0.0000 0.0000 0.3386  6 V 2.70, 1 Ge 2.73, 1 Hf 2.86
Ge 0.3333 0.6667 0.0000  6 V 2.58
Ge 0.6667 0.3333 0.0000  6 V 2.58
Ge 0.3333 0.6667 0.5000  6 V 2.60
Ge 0.6667 0.3333 0.5000  6 V 2.60

Properties
**D(E_F)**: 3.12 states/eV per cell
**Energy of formation from the pure elements**: -0.426 eV per atom
**Density**: 7.805 g/cm3
**M_tot**: 0.000 μB/atom

No. 2
Here is crystalline Hf2V3Ge at its relaxed geometry from the Alexandria database. Energies are from PBE.

abc: 5.1491 5.1491 5.2216
angles: 90.04 119.56 119.93
With the nearest neighbours (Å) after each atom.
Positions (direct):
Hf 0.7520 0.3763 0.1283  3 Ge 3.02, 9 V 3.03-3.08, 4 Hf 3.17-3.19
Hf 0.2480 0.6237 0.8717  3 Ge 3.02, 9 V 3.03-3.08, 4 Hf 3.17-3.19
V 0.5000 0.5000 0.5000  4 V 2.57-2.58, 2 Ge 2.61
V 0.0000 0.0000 0.5000  4 V 2.57-2.58, 2 Ge 2.61
V 0.5000 0.0000 0.5000  4 V 2.57, 2 Ge 2.61
Ge 0.0000 0.0000 0.0000  6 V 2.61

Properties
**D(E_F)**: 10.38 states/eV per cell
**Energy of formation from the pure elements**: -0.240 eV per atom
**Offset from the most stable computed form**: 37.0 meV per atom
**Density**: 9.808 g/cm3
**M_tot**: 0.000 μB/atom

No. 3
Here is crystalline HfVGe2 at its relaxed geometry from the Alexandria database. Energies are from PBE.

abc: 7.0355 7.0355 5.7421
angles: 52.22 52.22 90.00
With the nearest neighbours (Å) after each atom.
Positions (direct):
Ge 0.6025 0.1250 0.2500  2 V 2.48, 2 Hf 2.70
Ge 0.1475 0.6250 0.2500  2 V 2.48, 2 Hf 2.70
Ge 0.3750 0.3975 0.7500  2 V 2.48, 2 Hf 2.70
Ge 0.8750 0.8525 0.7500  2 V 2.48, 2 Hf 2.70
Hf 0.0000 0.0000 0.0000  4 Ge 2.70, 2 V 2.87
Hf 0.7500 0.2500 0.5000  4 Ge 2.70, 2 V 2.87
V 0.5000 0.5000 0.0000  4 Ge 2.48
V 0.2500 0.7500 0.5000  4 Ge 2.48

Properties
**D(E_F)**: 6.81 states/eV per cell
**Energy of formation from the pure elements**: -0.078 eV per atom
**Offset from the most stable computed form**: 160.8 meV per atom
**Density**: 8.768 g/cm3
**M_tot**: 0.174 μB/atom

No. 4
Here is crystalline HfV3Ge at its relaxed geometry from the Alexandria database. Energies are from PBE.

abc: 3.3069 8.5151 11.2522
angles: 90.00 90.00 90.00
With the nearest neighbours (Å) after each atom.
Positions (direct):
Hf 0.7500 0.8421 0.9961  2 Ge 2.73, 4 V 2.88-3.05
Hf 0.2500 0.6579 0.4961  2 Ge 2.73, 4 V 2.88-3.05
Hf 0.7500 0.3421 0.5039  2 Ge 2.73, 4 V 2.88-3.05
Hf 0.2500 0.1579 0.0039  2 Ge 2.73, 4 V 2.88-3.05
V 0.2500 0.5707 0.0939  3 Ge 2.50-2.56, 3 V 2.56-2.68
V 0.7500 0.4293 0.9061  3 Ge 2.50-2.56, 3 V 2.56-2.68
V 0.2500 0.0707 0.4061  3 Ge 2.50-2.56, 3 V 2.56-2.68
V 0.7500 0.9293 0.5939  3 Ge 2.50-2.56, 3 V 2.56-2.68
V 0.2500 0.4056 0.7332  2 Ge 2.52-2.58, 6 V 2.56-2.80
V 0.7500 0.0944 0.2332  2 Ge 2.52-2.58, 6 V 2.56-2.80
V 0.2500 0.9056 0.7668  2 Ge 2.52-2.58, 6 V 2.56-2.80
V 0.7500 0.6521 0.7060  2 Ge 2.51, 5 V 2.68-2.80
V 0.2500 0.3479 0.2940  2 Ge 2.51, 5 V 2.68-2.80
V 0.7500 0.1521 0.7940  2 Ge 2.51, 5 V 2.68-2.80
V 0.7500 0.5944 0.2668  2 Ge 2.52-2.58, 6 V 2.56-2.80
V 0.2500 0.8479 0.2060  2 Ge 2.51, 5 V 2.68-2.80
Ge 0.2500 0.1450 0.6267  7 V 2.50-2.58, 2 Hf 2.73
Ge 0.2500 0.6450 0.8733  7 V 2.50-2.58, 2 Hf 2.73
Ge 0.7500 0.3550 0.1267  7 V 2.50-2.58, 2 Hf 2.73
Ge 0.7500 0.8550 0.3733  7 V 2.50-2.58, 2 Hf 2.73

Properties
**D(E_F)**: 22.12 states/eV per cell
**Energy of formation from the pure elements**: -0.165 eV per atom
**Offset from the most stable computed form**: 0.0 meV per atom
**Density**: 8.468 g/cm3
**M_tot**: 0.000 μB/atom

No. 5
Here is crystalline HfVGe2 at its relaxed geometry from the Alexandria database. Energies are from PBE.

abc: 3.7175 3.7175 6.3556
angles: 72.99 72.99 60.00
With the nearest neighbours (Å) after each atom.
Positions (direct):
Ge 0.2584 0.2584 0.2249  3 V 2.53, 3 Hf 2.70
Ge 0.7416 0.7416 0.7751  3 V 2.53, 3 Hf 2.70
Hf 0.5000 0.5000 0.5000  6 Ge 2.70
V 0.0000 0.0000 0.0000  6 Ge 2.53

Properties
**D(E_F)**: 2.40 states/eV per cell
**Energy of formation from the pure elements**: -0.238 eV per atom
**Offset from the most stable computed form**: 0.0 meV per atom
**Density**: 8.690 g/cm3
**M_tot**: 0.188 μB/atom

No. 6
Here is crystalline Hf3VGe at its relaxed geometry from the Alexandria database. Energies are from PBE.

abc: 4.8188 4.8188 4.8188
angles: 90.00 90.00 90.00
With the nearest neighbours (Å) after each atom.
Positions (direct):
Ge 0.5000 0.5000 0.5000  12 Hf 3.41
Hf 0.0000 0.5000 0.0000  2 V 2.41
Hf 0.0000 0.0000 0.5000  2 V 2.41
Hf 0.5000 0.0000 0.0000  2 V 2.41
V 0.0000 0.0000 0.0000  6 Hf 2.41

Properties
**D(E_F)**: 6.66 states/eV per cell
**Energy of formation from the pure elements**: 0.727 eV per atom
**Offset from the most stable computed form**: 46.4 meV per atom
**Density**: 9.780 g/cm3
**M_tot**: 0.000 μB/atom

No. 7
Here is crystalline Hf2V2Ge at its relaxed geometry from the Alexandria database. Energies are from PBE.

abc: 6.5889 6.5889 4.0420
angles: 90.00 90.00 90.00
With the nearest neighbours (Å) after each atom.
Positions (direct):
Ge 0.0000 0.0000 0.0000  4 V 2.60
Ge 0.5000 0.5000 0.0000  4 V 2.60
Hf 0.1746 0.6746 0.5000  6 V 2.75-2.84
Hf 0.6746 0.8254 0.5000  6 V 2.75-2.84
Hf 0.8254 0.3254 0.5000  6 V 2.75-2.84
Hf 0.3254 0.1746 0.5000  6 V 2.75-2.84
V 0.3749 0.8749 0.0000  1 V 2.33, 2 Ge 2.60
V 0.8749 0.6251 0.0000  1 V 2.33, 2 Ge 2.60
V 0.6251 0.1251 0.0000  1 V 2.33, 2 Ge 2.60
V 0.1251 0.3749 0.0000  1 V 2.33, 2 Ge 2.60

Properties
**D(E_F)**: 7.17 states/eV per cell
**Energy of formation from the pure elements**: -0.085 eV per atom
**Density**: 10.059 g/cm3
**M_tot**: 0.000 μB/atom

No. 8
Here is crystalline HfV3Ge2 at its relaxed geometry from the Alexandria database. Energies are from PBE.

abc: 4.1172 6.9054 7.9195
angles: 117.07 90.00 107.34
With the nearest neighbours (Å) after each atom.
Positions (direct):
Hf 0.8552 0.7104 0.9417  7 Ge 2.84-3.01, 1 V 3.11
Hf 0.1448 0.2896 0.0583  7 Ge 2.84-3.01, 1 V 3.11
V 0.3102 0.6204 0.5131  1 Ge 2.43, 5 V 2.46-2.66
V 0.9557 0.9113 0.6304  5 V 2.55-2.82, 3 Ge 2.57-2.58
V 0.5780 0.1561 0.6619  3 Ge 2.38-2.49, 4 V 2.40-2.55
V 0.4220 0.8439 0.3381  3 Ge 2.38-2.49, 4 V 2.40-2.55
V 0.0443 0.0887 0.3696  5 V 2.55-2.82, 3 Ge 2.57-2.58
V 0.6898 0.3796 0.4869  1 Ge 2.43, 5 V 2.46-2.66
Ge 0.4726 0.9452 0.8366  1 Ge 2.33, 4 V 2.38-2.57
Ge 0.5274 0.0548 0.1634  1 Ge 2.33, 4 V 2.38-2.57
Ge 0.8026 0.6052 0.2715  6 V 2.49-2.78
Ge 0.1974 0.3948 0.7285  6 V 2.49-2.78

Properties
**D(E_F)**: 6.44 states/eV per cell
**Energy of formation from the pure elements**: -0.316 eV per atom
**Density**: 8.379 g/cm3
**M_tot**: 0.000 μB/atom

No. 9
Here is crystalline HfVGe3 at its relaxed geometry from the Alexandria database. Energies are from PBE.

abc: 5.0795 5.0795 5.0795
angles: 90.00 90.00 90.00
With the nearest neighbours (Å) after each atom.
Positions (direct):
Ge 0.0000 0.5000 0.0000  2 Hf 2.54
Ge 0.0000 0.0000 0.5000  2 Hf 2.54
Ge 0.5000 0.0000 0.0000  2 Hf 2.54
Hf 0.0000 0.0000 0.0000  6 Ge 2.54
V 0.5000 0.5000 0.5000  12 Ge 3.59

Properties
**D(E_F)**: 6.25 states/eV per cell
**Energy of formation from the pure elements**: 0.846 eV per atom
**Density**: 5.668 g/cm3
**M_tot**: 0.654 μB/atom

No. 10
Here is crystalline HfV2Ge at its relaxed geometry from the Alexandria database. Energies are from PBE.

abc: 7.2580 7.2580 5.7637
angles: 50.98 50.98 90.00
With the nearest neighbours (Å) after each atom.
Positions (direct):
Ge 0.5000 0.5000 0.0000  4 V 2.47, 2 Hf 2.62
Ge 0.2500 0.7500 0.5000  4 V 2.47, 2 Hf 2.62
Hf 0.0000 0.0000 0.0000  2 Ge 2.62, 4 V 2.84
Hf 0.7500 0.2500 0.5000  2 Ge 2.62, 4 V 2.84
V 0.5870 0.1250 0.2500  2 Ge 2.47, 2 V 2.68
V 0.1630 0.6250 0.2500  2 Ge 2.47, 2 V 2.68
V 0.3750 0.4130 0.7500  2 Ge 2.47, 2 V 2.68
V 0.8750 0.8370 0.7500  2 Ge 2.47, 2 V 2.68

Properties
**D(E_F)**: 8.43 states/eV per cell
**Energy of formation from the pure elements**: 0.344 eV per atom
**Density**: 8.484 g/cm3
**M_tot**: 0.000 μB/atom